A plane-wave DFT calculation with PBE was carried out for a relaxed structure of Cs3Rb8Ag.

It has space group P6_3mc (No. 186), with a = 15.3978 Å, b = 15.3978 Å, c = 10.1973 Å, α = 90.00°, β = 90.00° and γ = 120.00°. The asymmetric unit holds Cs at (0.1559, 0.3119, 0.0000), Rb at (0.0000, 0.0000, 0.2475), Rb at (0.0437, 0.5218, 0.7748), Rb at (0.2224, 0.4448, 0.4909), Rb at (0.3333, 0.6667, 0.0910) and Ag at (0.3333, 0.6667, 0.7304).

The formation energy comes out at 31 meV per atom.



A plane-wave DFT calculation with PBE was carried out for a relaxed structure of BaGa2Pt4.

It has space group I4/mmm (No. 139), with a = 5.331 Å, b = 5.331 Å, c = 13.618 Å, α = 90.00°, β = 90.00° and γ = 90.00°. The asymmetric unit holds Ba at (0.000, 0.000, 0.000), Ga at (0.000, 0.000, 0.409), Pt at (0.000, 0.000, 0.240) and Pt at (0.000, 0.500, 0.000).

The formation energy comes out at 785 meV per atom.



A plane-wave DFT calculation with PBE was carried out for a relaxed structure of NaFe2Tc2.

It has space group P4/mbm (No. 127), with a = 7.369 Å, b = 7.369 Å, c = 2.616 Å, α = 90.00°, β = 90.00° and γ = 90.00°. The asymmetric unit holds Na at (0.000, 0.000, 0.000), Fe at (0.125, 0.375, 0.000) and Tc at (0.160, 0.660, 0.500).

The formation energy comes out at 411 meV per atom.



A plane-wave DFT calculation with PBE was carried out for a relaxed structure of Pu8GeRh5.

It has space group I-4 (No. 82), with a = 8.592 Å, b = 8.592 Å, c = 8.478 Å, α = 90.00°, β = 90.00° and γ = 90.00°. The asymmetric unit holds Pu at (0.069, 0.173, 0.191), Pu at (0.070, 0.317, 0.555), Ge at (0.000, 0.500, 0.250), Rh at (0.000, 0.000, 0.500) and Rh at (0.128, 0.254, 0.877).

The formation energy comes out at -366 meV per atom.



A plane-wave DFT calculation with PBE was carried out for a relaxed structure of Ca2Sc2Bi.

It has space group P4/mbm (No. 127), with a = 7.774 Å, b = 7.774 Å, c = 5.245 Å, α = 90.00°, β = 90.00° and γ = 90.00°. The asymmetric unit holds Ca at (0.162, 0.338, 0.000), Sc at (0.145, 0.645, 0.500) and Bi at (0.000, 0.000, 0.500).

The formation energy comes out at -121 meV per atom.



A plane-wave DFT calculation with PBE was carried out for a relaxed structure of Ba4BeSe.

It has space group F-43m (No. 216), with a = 10.081 Å, b = 10.081 Å, c = 10.081 Å, α = 90.00°, β = 90.00° and γ = 90.00°. The asymmetric unit holds Ba at (0.124, 0.124, 0.376), Be at (0.000, 0.000, 0.000) and Se at (0.250, 0.250, 0.750).

For the energy, the calculation gives -1.946 eV/atom.



A plane-wave DFT calculation with PBE was carried out for a relaxed structure of ScReP2.

It has space group P4mm (No. 99), with a = 3.209 Å, b = 3.209 Å, c = 5.887 Å, α = 90.00°, β = 90.00° and γ = 90.00°. The asymmetric unit holds Sc at (0.000, 0.000, 0.000), Re at (0.500, 0.500, 0.651), P at (0.000, 0.000, 0.488) and P at (0.500, 0.500, 0.225).

The formation energy comes out at -468 meV per atom.